## AgRu4 (SCAN)

Data for a PBEsol-optimized structure of AgRu4.

POSCAR file:
```
AgRu4
1.0
3.794 0.000 0.000
1.897 4.275 0.000
1.897 0.000 4.275
Ag Ru
1 4
Direct
0.000 0.000 0.000
0.411 0.395 0.784
0.589 0.605 0.216
0.805 0.784 0.605
0.195 0.216 0.395
```

The calculated formation energy comes out at 0.440 eV per atom.

## AgRu (SCAN)

Data for a PBEsol-optimized structure of AgRu.

POSCAR file:
```
AgRu
1.0
2.775 0.000 0.000
0.000 4.704 0.000
-1.387 -2.352 4.651
Ag Ru
2 2
Direct
0.881 0.631 0.762
0.119 0.369 0.238
0.358 0.108 0.717
0.642 0.892 0.283
```

The calculated formation energy comes out at 0.649 eV per atom.

## Ag3RuS (SCAN)

Data for a PBEsol-optimized structure of Ag3RuS.

POSCAR file:
```
Ag3RuS
1.0
-3.651 -2.146 -1.647
1.427 -3.878 1.890
-2.298 1.002 3.790
Ru S Ag
1 1 3
Direct
0.500 0.500 0.500
0.000 0.000 0.000
0.000 0.500 0.000
0.000 0.000 0.500
0.500 0.000 0.000
```

The calculation puts the uncorrected formation energy at 1.026 eV/atom.

## AgSbRu (SCAN)

Data for a PBEsol-optimized structure of AgSbRu.

POSCAR file:
```
AgSbRu
1.0
4.359 0.000 0.000
2.180 3.775 0.000
2.180 1.258 3.559
Ag Ru Sb
1 1 1
Direct
0.250 0.250 0.250
0.000 0.000 0.000
0.500 0.500 0.500
```

The calculation puts the uncorrected formation energy at 0.810 eV/atom.

## AgSb3Ru (SCAN)

Data for a PBEsol-optimized structure of AgSb3Ru.

POSCAR file:
```
AgSb3Ru
1.0
5.135 0.000 0.000
0.000 5.135 0.000
0.000 0.000 5.135
Sb Ag Ru
3 1 1
Direct
0.000 0.500 0.000
0.000 0.000 0.500
0.500 0.000 0.000
0.000 0.000 0.000
0.500 0.500 0.500
```

The calculation puts the uncorrected formation energy at 1.370 eV/atom.

## ScAg2Ru (SCAN)

Data for a PBEsol-optimized structure of ScAg2Ru.

POSCAR file:
```
ScAg2Ru
1.0
-0.780 0.311 -3.400
2.427 -2.402 -0.777
-3.722 -3.921 0.496
Ag Ru Sc
2 1 1
Direct
0.000 0.000 0.758
0.000 0.000 0.242
0.500 0.500 0.000
0.500 0.500 0.500
```

The calculated formation energy comes out at 0.118 eV per atom.

## ScAgRu (SCAN)

Data for a PBEsol-optimized structure of ScAgRu.

POSCAR file:
```
ScAgRu
1.0
4.348 0.000 0.000
2.174 3.765 0.000
2.174 1.255 3.550
Ag Ru Sc
1 1 1
Direct
0.500 0.500 0.500
0.250 0.250 0.250
0.000 0.000 0.000
```

The calculated formation energy comes out at 0.382 eV per atom.

## Ag2RuSe (SCAN)

Data for a PBEsol-optimized structure of Ag2RuSe.

POSCAR file:
```
Ag2RuSe
1.0
-1.759 0.486 2.166
1.941 -2.042 0.297
6.114 6.328 3.543
Ag Ru Se
2 1 1
Direct
0.000 0.000 0.988
0.500 0.500 0.737
0.000 0.000 0.489
0.500 0.500 0.286
```

The calculation puts the uncorrected formation energy at 0.380 eV/atom.